Entry 1:
{"formula": "TbGdDyZn", "functional": "PBE-GGA", "state": "optimized geometry", "spacegroup": "F-43m, No. 216", "dft_energy_ev_per_cell": -24.43, "n_ef_per_ev_cell": 4.57, "e_form_ev_per_atom": 0.04, "crystal_system": "cubic", "mass_density_kg_m3": 8355, "volume_a3_per_atom": 27.03, "cell": [[0.000, 3.781, 3.781], [3.781, 0.000, 3.781], [3.781, 3.781, 0.000]], "species": ["Tb", "Gd", "Dy", "Zn"], "fractional_positions": [[0.000, 0.000, 0.000], [0.500, 0.500, 0.500], [0.250, 0.250, 0.250], [0.750, 0.750, 0.750]]}


Entry 2:
{"formula": "TbGdDyZr", "functional": "PBE-GGA", "state": "optimized geometry", "spacegroup": "F-43m, No. 216", "dft_energy_ev_per_cell": -31.08, "n_ef_per_ev_cell": 5.78, "e_form_ev_per_atom": 0.20, "crystal_system": "cubic", "mass_density_kg_m3": 8000, "volume_a3_per_atom": 29.57, "cell": [[0.000, 3.896, 3.896], [3.896, 0.000, 3.896], [3.896, 3.896, 0.000]], "species": ["Tb", "Gd", "Dy", "Zr"], "fractional_positions": [[0.000, 0.000, 0.000], [0.500, 0.500, 0.500], [0.250, 0.250, 0.250], [0.750, 0.750, 0.750]]}


Entry 3:
{"formula": "GdDyTc", "functional": "PBE-GGA", "state": "optimized geometry", "spacegroup": "I4mm, No. 107", "dft_energy_ev_per_cell": -29.14, "n_ef_per_ev_cell": 3.55, "e_form_ev_per_atom": -0.03, "crystal_system": "tetragonal", "mass_density_kg_m3": 9161, "volume_a3_per_atom": 25.24, "cell": [[-1.735, 1.735, 6.290], [1.735, -1.735, 6.290], [1.735, 1.735, -6.290]], "species": ["Gd", "Dy", "Tc"], "fractional_positions": [[0.000, 0.000, 0.000], [0.260, 0.260, 0.000], [0.631, 0.631, 0.000]]}